HoTiSe3: optimized geometry, GGA-PBE.

Cell and atoms, written as extended XYZ:
```
20
Lattice="6.647 0.000 0.000 0.000 8.816 -0.125 0.000 -4.120 9.021" Properties=species:S:1:pos:R:3 pbc="T T T"
Ho 4.596 -0.618 3.509
Se 2.744 -2.743 8.134
Se 2.909 2.707 6.329
Se 1.076 5.704 0.379
Se 3.903 7.438 0.762
Se 6.233 4.337 7.014
Ho 1.272 2.966 0.938
Se 3.738 1.989 2.567
Ti 5.158 0.775 0.166
Se 0.414 0.359 1.881
Ho 2.052 5.314 5.386
Ti 4.813 3.123 4.614
Se 0.579 3.726 3.561
Se 6.068 0.970 5.335
Se 4.400 5.460 3.943
Ho 5.375 1.730 7.957
Ti 1.489 3.921 8.729
Se 5.571 -1.008 8.516
Se 2.247 -0.764 4.952
Ti 1.834 1.573 4.281
```

Computed properties:
Total moment (Bohr magnetons per cell): 4.05
E_tot (eV per atom): -5.9507
Volume (Å³/cell): 525.22
Formation energy (no corrections) (eV per atom): -1.37